Entry 1:
# CaTl2Sb2 | Alexandria | PBE | relaxed
# uncorrected energy: -3.1244 eV per atom
# calculated volume: 301 Å³/cell
# DOS at the Fermi energy: 4.03 states/eV/f.u.
# formation energy from raw total energies: -0.129 eV per atom
# excess energy over the best structure of this formula in the dataset: 185 meV/atom
data_CaTl2Sb2
_chemical_formula_sum 'Ca2 Tl4 Sb4'
_symmetry_space_group_name_H-M 'P 1'
_symmetry_Int_Tables_number 1
_symmetry_space_group_name_Hall 'P 1'
_cell_length_a 8.557
_cell_length_b 8.557
_cell_length_c 4.105
_cell_angle_alpha 90.00
_cell_angle_beta 90.00
_cell_angle_gamma 90.00
loop_
_atom_site_label
_atom_site_type_symbol
_atom_site_fract_x
_atom_site_fract_y
_atom_site_fract_z
Tl1 Tl 0.133 0.367 0.000
Tl2 Tl 0.367 0.867 0.000
Ca1 Ca 0.500 0.500 0.000
Ca2 Ca 0.000 0.000 0.000
Sb1 Sb 0.335 0.165 0.500
Sb2 Sb 0.665 0.835 0.500
Tl3 Tl 0.867 0.633 0.000
Tl4 Tl 0.633 0.133 0.000
Sb3 Sb 0.835 0.335 0.500
Sb4 Sb 0.165 0.665 0.500

***

Entry 2:
# HfInH | Alexandria | PBE | relaxed
# uncorrected energy: -5.4575 eV per atom
# calculated volume: 96 Å³/cell
# DOS at the Fermi energy: 0.88 states/eV/f.u.
# excess energy over the best structure of this formula in the dataset: 248 meV/atom
data_HfInH
_chemical_formula_sum 'Hf2 In2 H2'
_symmetry_space_group_name_H-M 'P 1'
_symmetry_Int_Tables_number 1
_symmetry_space_group_name_Hall 'P 1'
_cell_length_a 4.831
_cell_length_b 3.935
_cell_length_c 5.811
_cell_angle_alpha 70.17
_cell_angle_beta 68.90
_cell_angle_gamma 89.98
loop_
_atom_site_label
_atom_site_type_symbol
_atom_site_fract_x
_atom_site_fract_y
_atom_site_fract_z
Hf1 Hf 0.576 0.576 0.849
In1 In 0.051 0.040 0.920
Hf2 Hf 0.764 0.319 0.362
H1 H 0.469 0.390 0.219
In2 In 0.235 0.781 0.438
H2 H 0.642 0.129 0.741

***

Entry 3:
# Dy12Y7Sc | Alexandria | PBE | relaxed
# uncorrected energy: -5.0324 eV per atom
# calculated volume: 659 Å³/cell
# DOS at the Fermi energy: 27.34 states/eV/f.u.
# excess energy over the best structure of this formula in the dataset: 66 meV/atom
data_Dy12Y7Sc
_chemical_formula_sum 'Dy12 Y7 Sc1'
_symmetry_space_group_name_H-M 'P 1'
_symmetry_Int_Tables_number 1
_symmetry_space_group_name_Hall 'P 1'
_cell_length_a 6.634
_cell_length_b 10.934
_cell_length_c 10.934
_cell_angle_alpha 63.98
_cell_angle_beta 78.33
_cell_angle_gamma 101.67
loop_
_atom_site_label
_atom_site_type_symbol
_atom_site_fract_x
_atom_site_fract_y
_atom_site_fract_z
Y1 Y 0.063 0.864 0.299
Dy1 Dy 0.494 0.786 0.427
Dy2 Dy 0.253 0.457 0.479
Dy3 Dy 0.796 0.064 0.457
Dy4 Dy 0.268 0.521 0.936
Y2 Y 0.638 0.701 0.163
Dy5 Dy 0.747 0.543 0.521
Dy6 Dy 0.079 0.573 0.213
Dy7 Dy 0.204 0.936 0.543
Dy8 Dy 0.921 0.427 0.787
Dy9 Dy 0.708 0.787 0.786
Y3 Y 0.937 0.136 0.701
Dy10 Dy 0.292 0.213 0.214
Y4 Y 0.801 0.163 0.136
Y5 Y 0.199 0.837 0.864
Y6 Y 0.362 0.299 0.837
Sc1 Sc 0.000 0.000 0.000
Dy11 Dy 0.732 0.479 0.064
Y7 Y 0.500 0.000 0.000
Dy12 Dy 0.506 0.214 0.573

***

Entry 4:
# Ba4TlZn3 | Alexandria | PBE | relaxed
# uncorrected energy: -1.9600 eV per atom
# calculated volume: 289 Å³/cell
# DOS at the Fermi energy: 5.95 states/eV/f.u.
data_Ba4TlZn3
_chemical_formula_sum 'Ba4 Tl1 Zn3'
_symmetry_space_group_name_H-M 'P 1'
_symmetry_Int_Tables_number 1
_symmetry_space_group_name_Hall 'P 1'
_cell_length_a 5.894
_cell_length_b 5.894
_cell_length_c 9.306
_cell_angle_alpha 108.51
_cell_angle_beta 108.46
_cell_angle_gamma 90.00
loop_
_atom_site_label
_atom_site_type_symbol
_atom_site_fract_x
_atom_site_fract_y
_atom_site_fract_z
Ba1 Ba 0.128 0.128 0.255
Ba2 Ba 0.372 0.372 0.745
Zn1 Zn 0.000 0.500 0.000
Zn2 Zn 0.749 0.249 0.498
Ba3 Ba 0.872 0.872 0.745
Zn3 Zn 0.251 0.751 0.502
Tl1 Tl 0.500 0.000 0.000
Ba4 Ba 0.628 0.628 0.255

***

Entry 5:
# Pm3Sm2Y8 | Alexandria | PBE | relaxed
# uncorrected energy: -5.5530 eV per atom
# calculated volume: 448 Å³/cell
# DOS at the Fermi energy: 25.34 states/eV/f.u.
# excess energy over the best structure of this formula in the dataset: 17 meV/atom
data_Pm3Sm2Y8
_chemical_formula_sum 'Pm3 Sm2 Y8'
_symmetry_space_group_name_H-M 'P 1'
_symmetry_Int_Tables_number 1
_symmetry_space_group_name_Hall 'P 1'
_cell_length_a 5.691
_cell_length_b 7.716
_cell_length_c 10.898
_cell_angle_alpha 110.73
_cell_angle_beta 90.06
_cell_angle_gamma 90.00
loop_
_atom_site_label
_atom_site_type_symbol
_atom_site_fract_x
_atom_site_fract_y
_atom_site_fract_z
Y1 Y 0.500 0.182 0.785
Y2 Y 0.500 0.818 0.215
Y3 Y 0.500 0.397 0.215
Pm1 Pm 0.000 0.710 0.000
Y4 Y 0.999 0.330 0.661
Y5 Y 0.001 0.867 0.733
Pm2 Pm 0.000 0.290 0.000
Sm1 Sm 0.502 0.759 0.517
Pm3 Pm 0.500 0.000 0.000
Y6 Y 0.001 0.670 0.339
Y7 Y 0.999 0.133 0.267
Y8 Y 0.500 0.603 0.785
Sm2 Sm 0.498 0.241 0.483

***

Entry 6:
# PrNd3Er6Tm2 | Alexandria | PBE | relaxed
# uncorrected energy: -4.5959 eV per atom
# calculated volume: 383 Å³/cell
# DOS at the Fermi energy: 15.20 states/eV/f.u.
data_PrNd3Er6Tm2
_chemical_formula_sum 'Pr1 Nd3 Er6 Tm2'
_symmetry_space_group_name_H-M 'P 1'
_symmetry_Int_Tables_number 1
_symmetry_space_group_name_Hall 'P 1'
_cell_length_a 6.177
_cell_length_b 6.177
_cell_length_c 11.764
_cell_angle_alpha 95.01
_cell_angle_beta 95.01
_cell_angle_gamma 119.98
loop_
_atom_site_label
_atom_site_type_symbol
_atom_site_fract_x
_atom_site_fract_y
_atom_site_fract_z
Tm1 Tm 0.667 0.333 0.000
Er1 Er 0.749 0.749 0.247
Er2 Er 0.251 0.251 0.753
Er3 Er 0.083 0.417 0.247
Er4 Er 0.583 0.917 0.753
Nd1 Nd 0.167 0.833 0.500
Nd2 Nd 0.500 0.500 0.500
Nd3 Nd 0.833 0.167 0.500
Er5 Er 0.417 0.083 0.247
Pr1 Pr 0.000 0.000 0.000
Er6 Er 0.917 0.583 0.753
Tm2 Tm 0.333 0.667 0.000

***

Entry 7:
# Y2SiP | Alexandria | PBE | relaxed
# uncorrected energy: -6.6025 eV per atom
# calculated volume: 87 Å³/cell
# DOS at the Fermi energy: 3.60 states/eV/f.u.
# formation energy from raw total energies: -0.662 eV per atom
# excess energy over the best structure of this formula in the dataset: 563 meV/atom
data_Y2SiP
_chemical_formula_sum 'Y2 Si1 P1'
_symmetry_space_group_name_H-M 'P 1'
_symmetry_Int_Tables_number 1
_symmetry_space_group_name_Hall 'P 1'
_cell_length_a 4.976
_cell_length_b 4.976
_cell_length_c 4.976
_cell_angle_alpha 60.00
_cell_angle_beta 60.00
_cell_angle_gamma 60.00
loop_
_atom_site_label
_atom_site_type_symbol
_atom_site_fract_x
_atom_site_fract_y
_atom_site_fract_z
Si1 Si 0.000 0.000 0.000
P1 P 0.500 0.500 0.500
Y1 Y 0.250 0.250 0.250
Y2 Y 0.750 0.750 0.750

***

Entry 8:
# TlZnBr2Cl | Alexandria | PBE | relaxed
# uncorrected energy: -2.6014 eV per atom
# calculated volume: 138 Å³/cell
# formation energy from raw total energies: -0.835 eV per atom
data_TlZnBr2Cl
_chemical_formula_sum 'Tl1 Zn1 Br2 Cl1'
_symmetry_space_group_name_H-M 'P 1'
_symmetry_Int_Tables_number 1
_symmetry_space_group_name_Hall 'P 1'
_cell_length_a 5.307
_cell_length_b 5.307
_cell_length_c 4.893
_cell_angle_alpha 90.00
_cell_angle_beta 90.00
_cell_angle_gamma 90.00
loop_
_atom_site_label
_atom_site_type_symbol
_atom_site_fract_x
_atom_site_fract_y
_atom_site_fract_z
Br1 Br 0.000 0.500 0.000
Tl1 Tl 0.500 0.500 0.500
Cl1 Cl 0.000 0.000 0.500
Zn1 Zn 0.000 0.000 0.000
Br2 Br 0.500 0.000 0.000

***

Entry 9:
# Al3CuNi | Alexandria | PBE | relaxed
# uncorrected energy: -4.1348 eV per atom
# calculated volume: 87 Å³/cell
# DOS at the Fermi energy: 1.45 states/eV/f.u.
# excess energy over the best structure of this formula in the dataset: 407 meV/atom
data_Al3CuNi
_chemical_formula_sum 'Al3 Cu1 Ni1'
_symmetry_space_group_name_H-M 'P 1'
_symmetry_Int_Tables_number 1
_symmetry_space_group_name_Hall 'P 1'
_cell_length_a 4.434
_cell_length_b 4.434
_cell_length_c 4.434
_cell_angle_alpha 90.00
_cell_angle_beta 90.00
_cell_angle_gamma 90.00
loop_
_atom_site_label
_atom_site_type_symbol
_atom_site_fract_x
_atom_site_fract_y
_atom_site_fract_z
Al1 Al 0.000 0.000 0.500
Al2 Al 0.500 0.000 0.000
Cu1 Cu 0.500 0.500 0.500
Al3 Al 0.000 0.500 0.000
Ni1 Ni 0.000 0.000 0.000

***

Entry 10:
# Ce2Zn3Ga2 | Alexandria | PBE | relaxed
# uncorrected energy: -3.3352 eV per atom
# calculated volume: 142 Å³/cell
# DOS at the Fermi energy: 10.86 states/eV/f.u.
# excess energy over the best structure of this formula in the dataset: 171 meV/atom
data_Ce2Zn3Ga2
_chemical_formula_sum 'Ce2 Zn3 Ga2'
_symmetry_space_group_name_H-M 'P 1'
_symmetry_Int_Tables_number 1
_symmetry_space_group_name_Hall 'P 1'
_cell_length_a 2.963
_cell_length_b 4.167
_cell_length_c 11.700
_cell_angle_alpha 100.26
_cell_angle_beta 90.00
_cell_angle_gamma 90.00
loop_
_atom_site_label
_atom_site_type_symbol
_atom_site_fract_x
_atom_site_fract_y
_atom_site_fract_z
Ce1 Ce 0.000 0.144 0.288
Ga1 Ga 0.500 0.281 0.562
Zn1 Zn 0.000 0.000 0.000
Ga2 Ga 0.500 0.719 0.438
Zn2 Zn 0.500 0.558 0.117
Zn3 Zn 0.500 0.442 0.883
Ce2 Ce 0.000 0.856 0.712

***

Entry 11:
# VFeAu | Alexandria | PBE | relaxed
# uncorrected energy: -6.8131 eV per atom
# calculated volume: 174 Å³/cell
# DOS at the Fermi energy: 2.89 states/eV/f.u.
# excess energy over the best structure of this formula in the dataset: 142 meV/atom
data_VFeAu
_chemical_formula_sum 'V4 Fe4 Au4'
_symmetry_space_group_name_H-M 'P 1'
_symmetry_Int_Tables_number 1
_symmetry_space_group_name_Hall 'P 1'
_cell_length_a 5.244
_cell_length_b 5.034
_cell_length_c 7.725
_cell_angle_alpha 90.00
_cell_angle_beta 90.00
_cell_angle_gamma 121.39
loop_
_atom_site_label
_atom_site_type_symbol
_atom_site_fract_x
_atom_site_fract_y
_atom_site_fract_z
Au1 Au 0.149 0.297 0.569
Fe1 Fe 0.905 0.810 0.104
Fe2 Fe 0.595 0.190 0.604
V1 V 0.859 0.217 0.250
V2 V 0.641 0.783 0.750
V3 V 0.141 0.783 0.750
Fe3 Fe 0.405 0.810 0.396
Au2 Au 0.649 0.297 0.931
Fe4 Fe 0.095 0.190 0.896
Au3 Au 0.351 0.703 0.069
Au4 Au 0.851 0.703 0.431
V4 V 0.359 0.217 0.250

***

Entry 12:
# RbLi2Ru | Alexandria | PBE | relaxed
# uncorrected energy: -2.5528 eV per atom
# calculated volume: 248 Å³/cell
# DOS at the Fermi energy: 2.61 states/eV/f.u.
# excess energy over the best structure of this formula in the dataset: 63 meV/atom
data_RbLi2Ru
_chemical_formula_sum 'Rb2 Li4 Ru2'
_symmetry_space_group_name_H-M 'P 1'
_symmetry_Int_Tables_number 1
_symmetry_space_group_name_Hall 'P 1'
_cell_length_a 5.367
_cell_length_b 5.367
_cell_length_c 9.412
_cell_angle_alpha 73.43
_cell_angle_beta 73.43
_cell_angle_gamma 90.00
loop_
_atom_site_label
_atom_site_type_symbol
_atom_site_fract_x
_atom_site_fract_y
_atom_site_fract_z
Li1 Li 0.375 0.121 0.750
Li2 Li 0.879 0.125 0.250
Rb1 Rb 0.500 0.500 0.000
Li3 Li 0.871 0.625 0.250
Ru1 Ru 0.750 0.250 0.500
Rb2 Rb 0.250 0.750 0.500
Li4 Li 0.875 0.129 0.750
Ru2 Ru 0.000 0.000 0.000

***

Entry 13:
# TmAl2Co | Alexandria | PBE | relaxed
# uncorrected energy: -4.7791 eV per atom
# calculated volume: 73 Å³/cell
# DOS at the Fermi energy: 2.68 states/eV/f.u.
data_TmAl2Co
_chemical_formula_sum 'Tm1 Al2 Co1'
_symmetry_space_group_name_H-M 'P 1'
_symmetry_Int_Tables_number 1
_symmetry_space_group_name_Hall 'P 1'
_cell_length_a 3.161
_cell_length_b 3.161
_cell_length_c 8.591
_cell_angle_alpha 79.40
_cell_angle_beta 79.40
_cell_angle_gamma 60.00
loop_
_atom_site_label
_atom_site_type_symbol
_atom_site_fract_x
_atom_site_fract_y
_atom_site_fract_z
Tm1 Tm 0.500 0.500 0.500
Al1 Al 0.269 0.269 0.194
Co1 Co 0.000 0.000 0.000
Al2 Al 0.731 0.731 0.806

***

Entry 14:
# Rb3Ga4Ge2 | Alexandria | PBE | relaxed
# uncorrected energy: -2.7121 eV per atom
# calculated volume: 281 Å³/cell
# DOS at the Fermi energy: 3.85 states/eV/f.u.
data_Rb3Ga4Ge2
_chemical_formula_sum 'Rb3 Ga4 Ge2'
_symmetry_space_group_name_H-M 'P 1'
_symmetry_Int_Tables_number 1
_symmetry_space_group_name_Hall 'P 1'
_cell_length_a 4.870
_cell_length_b 7.057
_cell_length_c 9.377
_cell_angle_alpha 70.43
_cell_angle_beta 75.25
_cell_angle_gamma 69.71
loop_
_atom_site_label
_atom_site_type_symbol
_atom_site_fract_x
_atom_site_fract_y
_atom_site_fract_z
Rb1 Rb 0.000 0.000 0.000
Ge1 Ge 0.323 0.577 0.780
Rb2 Rb 0.624 0.129 0.628
Ga1 Ga 0.099 0.440 0.364
Ga2 Ga 0.901 0.560 0.636
Ga3 Ga 0.275 0.378 0.073
Rb3 Rb 0.376 0.871 0.372
Ge2 Ge 0.677 0.423 0.220
Ga4 Ga 0.725 0.622 0.927

***

Entry 15:
# Ac2GaSi2 | Alexandria | PBE | relaxed
# uncorrected energy: -5.0009 eV per atom
# calculated volume: 267 Å³/cell
# DOS at the Fermi energy: 1.94 states/eV/f.u.
# formation energy from raw total energies: -0.583 eV per atom
# excess energy over the best structure of this formula in the dataset: 0 meV/atom
data_Ac2GaSi2
_chemical_formula_sum 'Ac4 Ga2 Si4'
_symmetry_space_group_name_H-M 'P 1'
_symmetry_Int_Tables_number 1
_symmetry_space_group_name_Hall 'P 1'
_cell_length_a 4.357
_cell_length_b 6.260
_cell_length_c 10.848
_cell_angle_alpha 76.22
_cell_angle_beta 78.42
_cell_angle_gamma 69.64
loop_
_atom_site_label
_atom_site_type_symbol
_atom_site_fract_x
_atom_site_fract_y
_atom_site_fract_z
Ac1 Ac 0.094 0.719 0.093
Ga1 Ga 0.440 0.808 0.311
Ac2 Ac 0.703 0.236 0.357
Si1 Si 0.960 0.663 0.416
Si2 Si 0.351 0.157 0.142
Ac3 Ac 0.297 0.764 0.643
Si3 Si 0.649 0.843 0.858
Ac4 Ac 0.906 0.281 0.907
Ga2 Ga 0.560 0.192 0.689
Si4 Si 0.040 0.337 0.584

***

Entry 16:
# CdAgS3 | Alexandria | PBE | relaxed
# uncorrected energy: -2.6079 eV per atom
# calculated volume: 113 Å³/cell
# DOS at the Fermi energy: 4.19 states/eV/f.u.
# formation energy from raw total energies: 0.622 eV per atom
# excess energy over the best structure of this formula in the dataset: 0 meV/atom
data_CdAgS3
_chemical_formula_sum 'Cd1 Ag1 S3'
_symmetry_space_group_name_H-M 'P 1'
_symmetry_Int_Tables_number 1
_symmetry_space_group_name_Hall 'P 1'
_cell_length_a 4.837
_cell_length_b 4.837
_cell_length_c 4.837
_cell_angle_alpha 90.00
_cell_angle_beta 90.00
_cell_angle_gamma 90.00
loop_
_atom_site_label
_atom_site_type_symbol
_atom_site_fract_x
_atom_site_fract_y
_atom_site_fract_z
Ag1 Ag 0.000 0.000 0.000
S1 S 0.000 0.500 0.000
Cd1 Cd 0.500 0.500 0.500
S2 S 0.500 0.000 0.000
S3 S 0.000 0.000 0.500

***

Entry 17:
# Rb2TlPb7 | Alexandria | PBE | relaxed
# uncorrected energy: -3.1050 eV per atom
# calculated volume: 386 Å³/cell
# DOS at the Fermi energy: 4.93 states/eV/f.u.
data_Rb2TlPb7
_chemical_formula_sum 'Rb2 Tl1 Pb7'
_symmetry_space_group_name_H-M 'P 1'
_symmetry_Int_Tables_number 1
_symmetry_space_group_name_Hall 'P 1'
_cell_length_a 5.218
_cell_length_b 5.218
_cell_length_c 14.162
_cell_angle_alpha 90.00
_cell_angle_beta 90.00
_cell_angle_gamma 90.00
loop_
_atom_site_label
_atom_site_type_symbol
_atom_site_fract_x
_atom_site_fract_y
_atom_site_fract_z
Rb1 Rb 0.000 0.500 0.248
Pb1 Pb 0.500 0.000 0.365
Pb2 Pb 0.000 0.000 0.500
Pb3 Pb 0.500 0.500 0.500
Pb4 Pb 0.000 0.000 0.000
Tl1 Tl 0.500 0.500 0.000
Pb5 Pb 0.500 0.000 0.134
Rb2 Rb 0.500 0.000 0.752
Pb6 Pb 0.000 0.500 0.866
Pb7 Pb 0.000 0.500 0.635

***

Entry 18:
# FeIrOs | Alexandria | PBE | relaxed
# uncorrected energy: -9.4635 eV per atom
# calculated volume: 81 Å³/cell
# DOS at the Fermi energy: 3.45 states/eV/f.u.
# excess energy over the best structure of this formula in the dataset: 30 meV/atom
data_FeIrOs
_chemical_formula_sum 'Fe2 Ir2 Os2'
_symmetry_space_group_name_H-M 'P 1'
_symmetry_Int_Tables_number 1
_symmetry_space_group_name_Hall 'P 1'
_cell_length_a 4.163
_cell_length_b 2.700
_cell_length_c 7.212
_cell_angle_alpha 90.00
_cell_angle_beta 90.01
_cell_angle_gamma 90.00
loop_
_atom_site_label
_atom_site_type_symbol
_atom_site_fract_x
_atom_site_fract_y
_atom_site_fract_z
Ir1 Ir 0.014 0.946 0.276
Ir2 Ir 0.515 0.446 0.059
Fe1 Fe 0.514 0.446 0.409
Os1 Os 0.015 0.446 0.605
Os2 Os 0.515 0.946 0.731
Fe2 Fe 0.015 0.946 0.926